Here is a relaxed Sc4GeRh3 crystal from the Alexandria database. Energies are from PBE.

abc: 3.2511 4.6119 9.2640
angles: 90.00 90.00 90.00
With the nearest neighbours (Å) after each atom.
Element x y z (fractional)
1 Sc 0.0000 0.0000 0.0000  8 Rh 2.82-2.83
2 Sc 0.0000 0.0000 0.5000  4 Ge 2.82, 4 Rh 2.82
3 Sc 0.0000 0.5000 0.2426  6 Rh 2.77-2.82, 2 Ge 2.89
4 Sc 0.0000 0.5000 0.7574  6 Rh 2.77-2.82, 2 Ge 2.89
5 Ge 0.5000 0.5000 0.5000  8 Sc 2.82-2.89
6 Rh 0.5000 0.0000 0.2507  8 Sc 2.82-2.83
7 Rh 0.5000 0.0000 0.7493  8 Sc 2.82-2.83
8 Rh 0.5000 0.5000 0.0000  8 Sc 2.77-2.82

The calculated formation energy is -918 meV per atom. As for the space group: Pmmm (47). The calculation puts the magnetic moment at 0.000 μB per formula unit.


Here is a relaxed Sc2GeRh crystal from the Alexandria database. Energies are from PBE.

abc: 9.4613 9.4613 9.4613
angles: 19.81 19.81 19.81
With the nearest neighbours (Å) after each atom.
Element x y z (fractional)
1 Sc 0.0989 0.0989 0.0989  3 Rh 2.66, 1 Ge 2.75
2 Sc 0.9011 0.9011 0.9011  3 Rh 2.66, 1 Ge 2.75
3 Ge 0.0000 0.0000 0.0000  2 Sc 2.75
4 Rh 0.5000 0.5000 0.5000  6 Sc 2.66

The calculated formation energy is -202 meV per atom. As for the space group: R-3m (166). The calculation puts the magnetic moment at 0.000 μB per formula unit.


Here is a relaxed Sc3Ge2Rh2 crystal from the Alexandria database. Energies are from PBE.

abc: 5.4388 7.1937 12.8529
angles: 90.00 90.00 90.00
With the nearest neighbours (Å) after each atom.
Element x y z (fractional)
1 Sc 0.1243 0.2274 0.2500  4 Rh 2.86-2.90, 3 Ge 2.87-2.99
2 Sc 0.1243 0.2726 0.7500  4 Rh 2.86-2.90, 3 Ge 2.87-2.99
3 Sc 0.3590 0.5963 0.1004  4 Rh 2.78-3.05, 4 Ge 2.81-2.92
4 Sc 0.3590 0.5963 0.3996  4 Rh 2.78-3.05, 4 Ge 2.81-2.92
5 Sc 0.3590 0.9037 0.6004  4 Rh 2.78-3.05, 4 Ge 2.81-2.92
6 Sc 0.3590 0.9037 0.8996  4 Rh 2.78-3.05, 4 Ge 2.81-2.92
7 Sc 0.6410 0.0963 0.1004  4 Rh 2.78-3.05, 4 Ge 2.81-2.92
8 Sc 0.6410 0.0963 0.3996  4 Rh 2.78-3.05, 4 Ge 2.81-2.92
9 Sc 0.6410 0.4037 0.6004  4 Rh 2.78-3.05, 4 Ge 2.81-2.92
10 Sc 0.6410 0.4037 0.8996  4 Rh 2.78-3.05, 4 Ge 2.81-2.92
11 Sc 0.8757 0.7274 0.2500  4 Rh 2.86-2.90, 3 Ge 2.87-2.99
12 Sc 0.8757 0.7726 0.7500  4 Rh 2.86-2.90, 3 Ge 2.87-2.99
13 Ge 0.2073 0.2500 0.0000  4 Rh 2.54-2.58
14 Ge 0.2073 0.2500 0.5000  4 Rh 2.54-2.58
15 Ge 0.3860 0.6188 0.7500  2 Rh 2.51
16 Ge 0.3860 0.8812 0.2500  2 Rh 2.51
17 Ge 0.6140 0.1188 0.7500  2 Rh 2.51
18 Ge 0.6140 0.3812 0.2500  2 Rh 2.51
19 Ge 0.7927 0.7500 0.0000  4 Rh 2.54-2.58
20 Ge 0.7927 0.7500 0.5000  4 Rh 2.54-2.58
21 Rh 0.1217 0.5616 0.5931  3 Ge 2.51-2.58, 1 Sc 2.78
22 Rh 0.1217 0.5616 0.9069  3 Ge 2.51-2.58, 1 Sc 2.78
23 Rh 0.1217 0.9384 0.0931  3 Ge 2.51-2.58, 1 Sc 2.78
24 Rh 0.1217 0.9384 0.4069  3 Ge 2.51-2.58, 1 Sc 2.78
25 Rh 0.8783 0.0616 0.5931  3 Ge 2.51-2.58, 1 Sc 2.78
26 Rh 0.8783 0.0616 0.9069  3 Ge 2.51-2.58, 1 Sc 2.78
27 Rh 0.8783 0.4384 0.0931  3 Ge 2.51-2.58, 1 Sc 2.78
28 Rh 0.8783 0.4384 0.4069  3 Ge 2.51-2.58, 1 Sc 2.78

The calculated formation energy is -920 meV per atom. As for the space group: Pbcm (57). The calculation puts the magnetic moment at 0.000 μB per formula unit.


Which of these has the lowest calculated formation energy?
Sc3Ge2Rh2


Which value of calculated formation energy does entry 1 give?
-918 meV per atom